1.
Entry from the Alexandria database: a relaxed structure of ThNi3Ir2 (PBE).

Summary:
ΔE to the lowest computed polymorph   0.90 eV per formula unit
Crystal system   trigonal
Total moment   0.0 Bohr magnetons per cell
Energy relative to the elements   -0.213 eV/atom

Cell lengths 5.5906, 5.5906, 7.4455 Å; angles 67.95, 67.95, 60.00 degrees
Fractional positions:
1 Th 0.7837 0.7837 0.6488
2 Th 0.2163 0.2163 0.3512
3 Ni 0.2568 0.7103 0.3226
4 Ni 0.7103 0.2568 0.3226
5 Ni 0.7103 0.7103 0.3226
6 Ni 0.2897 0.7432 0.6774
7 Ni 0.7432 0.2897 0.6774
8 Ni 0.2897 0.2897 0.6774
9 Ir 0.0000 0.0000 0.0000
10 Ir 0.0000 0.5000 0.0000
11 Ir 0.5000 0.5000 0.0000
12 Ir 0.5000 0.0000 0.0000

=====

2.
Entry from the Alexandria database: a relaxed structure of ThNi3Ir (PBE).

Summary:
Crystal system   orthorhombic
Total moment   0.0 Bohr magnetons per cell
Energy relative to the elements   0.066 eV/atom

Cell lengths 4.9879, 7.2267, 4.8258 Å; angles 90.00, 90.00, 90.00 degrees
Fractional positions:
1 Th 0.5000 0.0000 0.0000
2 Th 0.5000 0.5000 0.5000
3 Ni 0.5000 0.5000 0.0000
4 Ni 0.5000 0.0000 0.5000
5 Ni 0.0000 0.6682 0.5003
6 Ni 0.0000 0.1682 0.9997
7 Ni 0.0000 0.3318 0.4997
8 Ni 0.0000 0.8318 0.0003
9 Ir 0.0000 0.5000 0.0000
10 Ir 0.0000 0.0000 0.5000

=====

3.
Entry from the Alexandria database: a relaxed structure of ThNi2Ir (PBE).

Summary:
ΔE to the lowest computed polymorph   0.00 eV per formula unit
Crystal system   trigonal
Total moment   0.0 Bohr magnetons per cell
Energy relative to the elements   -0.467 eV/atom

Cell lengths 4.2678, 4.2678, 5.1329 Å; angles 65.43, 65.43, 60.00 degrees
Fractional positions:
1 Ni 0.8016 0.8016 0.5952
2 Ni 0.1984 0.1984 0.4048
3 Ir 0.5000 0.5000 0.5000
4 Th 0.0000 0.0000 0.0000

=====

4.
Entry from the Alexandria database: a relaxed structure of ThNiIr (PBE).

Summary:
Crystal system   hexagonal
Total moment   0.0 Bohr magnetons per cell
Energy relative to the elements   -0.622 eV/atom

Cell lengths 3.9747, 4.1874, 4.1874 Å; angles 120.00, 90.00, 90.00 degrees
Fractional positions:
1 Ni 0.1667 0.0000 0.0000
2 Ir 0.1667 0.3333 0.6667
3 Th 0.6667 0.6667 0.3333

=====

5.
Entry from the Alexandria database: a relaxed structure of YThNiIr (PBE).

Summary:
ΔE to the lowest computed polymorph   0.00 eV per formula unit
Crystal system   orthorhombic
Total moment   0.0 Bohr magnetons per cell
Energy relative to the elements   -0.685 eV/atom

Cell lengths 3.7853, 4.4486, 5.5092 Å; angles 90.00, 110.09, 90.00 degrees
Fractional positions:
1 Y 0.8613 0.5000 0.7225
2 Th 0.1379 0.0000 0.2758
3 Ni 0.5828 0.5000 0.1656
4 Ir 0.4180 0.0000 0.8360

=====

6.
Entry from the Alexandria database: a relaxed structure of YThNiIr (PBE).

Summary:
ΔE to the lowest computed polymorph   0.45 eV per formula unit
Crystal system   cubic
Total moment   0.0 Bohr magnetons per cell
Energy relative to the elements   -0.573 eV/atom

Cell lengths 4.9421, 4.9421, 4.9421 Å; angles 60.00, 60.00, 60.00 degrees
Fractional positions:
1 Y 0.0000 0.0000 0.0000
2 Ni 0.2500 0.2500 0.2500
3 Ir 0.7500 0.7500 0.7500
4 Th 0.5000 0.5000 0.5000

=====

7.
Entry from the Alexandria database: a relaxed structure of TiNi4Ir (PBE).

Summary:
ΔE to the lowest computed polymorph   0.00 eV per formula unit
Crystal system   monoclinic
Total moment   0.0 Bohr magnetons per cell
Energy relative to the elements   -0.326 eV/atom

Cell lengths 4.4415, 4.4659, 4.4750 Å; angles 60.07, 80.85, 71.41 degrees
Fractional positions:
1 Ti 0.5000 0.5000 0.0000
2 Ni 0.0000 0.3282 0.3436
3 Ni 0.5000 0.1670 0.6660
4 Ni 0.0000 0.6718 0.6564
5 Ni 0.5000 0.8330 0.3340
6 Ir 0.0000 0.0000 0.0000

=====

8.
Entry from the Alexandria database: a relaxed structure of Ti4Ni6Ir7 (PBE).

Summary:
Crystal system   cubic
Total moment   0.0 Bohr magnetons per cell
Energy relative to the elements   -0.334 eV/atom

Cell lengths 6.7713, 6.7713, 6.7713 Å; angles 109.47, 109.47, 109.47 degrees
Fractional positions:
1 Ti 0.5000 0.0000 0.0000
2 Ti 0.5000 0.5000 0.5000
3 Ti 0.0000 0.5000 0.0000
4 Ti 0.0000 0.0000 0.5000
5 Ni 0.7033 0.0000 0.7033
6 Ni 0.7033 0.7033 0.0000
7 Ni 0.0000 0.2967 0.2967
8 Ni 0.2967 0.0000 0.2967
9 Ni 0.2967 0.2967 0.0000
10 Ni 0.0000 0.7033 0.7033
11 Ir 0.7500 0.5000 0.2500
12 Ir 0.2500 0.7500 0.5000
13 Ir 0.5000 0.7500 0.2500
14 Ir 0.7500 0.2500 0.5000
15 Ir 0.2500 0.5000 0.7500
16 Ir 0.5000 0.2500 0.7500
17 Ir 0.0000 0.0000 0.0000

=====

9.
Entry from the Alexandria database: a relaxed structure of Ti2NiIr (PBE).

Summary:
ΔE to the lowest computed polymorph   0.05 eV per formula unit
Crystal system   orthorhombic
Total moment   0.0 Bohr magnetons per cell
Energy relative to the elements   -0.625 eV/atom

Cell lengths 5.3138, 5.3138, 5.3472 Å; angles 108.09, 108.09, 112.02 degrees
Fractional positions:
1 Ti 0.2626 0.2626 0.0000
2 Ti 0.7500 0.2500 0.5000
3 Ti 0.7374 0.7374 0.0000
4 Ti 0.2500 0.7500 0.5000
5 Ni 0.2218 0.2218 0.4436
6 Ni 0.7782 0.7782 0.5564
7 Ir 0.2465 0.7535 0.0000
8 Ir 0.7535 0.2465 0.0000

=====

10.
Entry from the Alexandria database: a relaxed structure of Ti2NiIr (PBE).

Summary:
ΔE to the lowest computed polymorph   0.08 eV per formula unit
Crystal system   tetragonal
Total moment   0.0 Bohr magnetons per cell
Energy relative to the elements   -0.617 eV/atom

Cell lengths 3.4747, 4.0673, 4.0673 Å; angles 90.00, 90.00, 90.00 degrees
Fractional positions:
1 Ni 0.5000 0.0000 0.0000
2 Ir 0.5000 0.5000 0.5000
3 Ti 0.0000 0.0000 0.5000
4 Ti 0.0000 0.5000 0.0000

=====

11.
Entry from the Alexandria database: a relaxed structure of Ti2Ni9Ir (PBE).

Summary:
Crystal system   monoclinic
Total moment   0.0 Bohr magnetons per cell
Energy relative to the elements   -0.317 eV/atom

Cell lengths 3.6193, 7.6547, 5.7175 Å; angles 72.73, 71.53, 76.30 degrees
Fractional positions:
1 Ti 0.0843 0.2535 0.5779
2 Ti 0.9157 0.7465 0.4221
3 Ni 0.4137 0.2561 0.9168
4 Ni 0.5863 0.7439 0.0832
5 Ni 0.5000 0.5000 0.5000
6 Ni 0.8305 0.4991 0.8392
7 Ni 0.6691 0.9967 0.6655
8 Ni 0.2507 0.7479 0.7512
9 Ni 0.1695 0.5009 0.1608
10 Ni 0.7493 0.2521 0.2488
11 Ni 0.3309 0.0033 0.3345
12 Ir 0.0000 0.0000 0.0000

=====

12.
Entry from the Alexandria database: a relaxed structure of TiNi4Ir (PBE).

Summary:
ΔE to the lowest computed polymorph   0.20 eV per formula unit
Crystal system   cubic
Total moment   0.9 Bohr magnetons per cell
Energy relative to the elements   -0.293 eV/atom

Cell lengths 4.6865, 4.6865, 4.6865 Å; angles 60.00, 60.00, 60.00 degrees
Site moments in Bohr magnetons follow the coordinates.
Fractional positions:
1 Ni 0.6256 0.6256 0.1232  0.24
2 Ni 0.6256 0.1232 0.6256  0.24
3 Ni 0.6256 0.6256 0.6256  0.24
4 Ni 0.1232 0.6256 0.6256  0.24
5 Ir 0.0000 0.0000 0.0000  0.15
6 Ti 0.2500 0.2500 0.2500  -0.13

=====

- Among the records above, which one has the highest total moment?
  number 12

=====

What did the third record say?
Entry from the Alexandria database: a relaxed structure of ThNi2Ir (PBE).

Summary:
ΔE to the lowest computed polymorph   0.00 eV per formula unit
Crystal system   trigonal
Total moment   0.0 Bohr magnetons per cell
Energy relative to the elements   -0.467 eV/atom

Cell lengths 4.2678, 4.2678, 5.1329 Å; angles 65.43, 65.43, 60.00 degrees
Fractional positions:
1 Ni 0.8016 0.8016 0.5952
2 Ni 0.1984 0.1984 0.4048
3 Ir 0.5000 0.5000 0.5000
4 Th 0.0000 0.0000 0.0000

=====

What did the third record say?
Entry from the Alexandria database: a relaxed structure of ThNi2Ir (PBE).

Summary:
ΔE to the lowest computed polymorph   0.00 eV per formula unit
Crystal system   trigonal
Total moment   0.0 Bohr magnetons per cell
Energy relative to the elements   -0.467 eV/atom

Cell lengths 4.2678, 4.2678, 5.1329 Å; angles 65.43, 65.43, 60.00 degrees
Fractional positions:
1 Ni 0.8016 0.8016 0.5952
2 Ni 0.1984 0.1984 0.4048
3 Ir 0.5000 0.5000 0.5000
4 Th 0.0000 0.0000 0.0000

=====

- Which of these has the highest total moment?
  number 12